Record 1
Entry from Alexandria via LeMat-Bulk: a geometry-optimized NpAlGa structure (PBE-GGA).

Properties
ΔE_f = -0.204 eV/atom

Unit cell a=3.5237 b=8.2849 c=7.5630 alpha=90.00 beta=90.00 gamma=90.00
Last column: nearest neighbours and their distance in Å.
Fractional coordinates of all 12 atoms:
Al 0.2500 0.5925 0.1520  4 Ga 2.55-2.61
Al 0.7500 0.4075 0.8480  4 Ga 2.55-2.61
Al 0.7500 0.0925 0.3480  4 Ga 2.55-2.61
Al 0.2500 0.9075 0.6520  4 Ga 2.55-2.61
Np 0.2500 0.4017 0.5082  2 Np 2.40
Np 0.7500 0.5983 0.4918  2 Np 2.40
Np 0.7500 0.9017 0.9918  2 Np 2.40
Np 0.2500 0.0983 0.0082  2 Np 2.40
Ga 0.7500 0.3621 0.1850  4 Al 2.55-2.61
Ga 0.2500 0.8621 0.3150  4 Al 2.55-2.61
Ga 0.2500 0.6379 0.8150  4 Al 2.55-2.61
Ga 0.7500 0.1379 0.6850  4 Al 2.55-2.61



Record 2
Entry from Alexandria via LeMat-Bulk: a geometry-optimized NpAlGa structure (PBE-GGA).

Properties
ΔE_f = -0.147 eV/atom

Unit cell a=3.9207 b=4.2211 c=6.8678 alpha=107.90 beta=90.00 gamma=90.00
Last column: nearest neighbours and their distance in Å.
Fractional coordinates of all 6 atoms:
Ga 0.7500 0.3904 0.7809  4 Al 2.67-2.81, 4 Np 2.96
Ga 0.2500 0.6096 0.2191  4 Al 2.67-2.81, 4 Np 2.96
Al 0.2500 0.2514 0.5029  4 Ga 2.67-2.81, 4 Al 2.88
Al 0.7500 0.7486 0.4971  4 Ga 2.67-2.81, 4 Al 2.88
Np 0.2500 0.9441 0.8882  2 Np 2.45
Np 0.7500 0.0559 0.1118  2 Np 2.45



Record 3
Entry from Alexandria via LeMat-Bulk: a geometry-optimized Np2Al3Ga3 structure (PBE-GGA).

Properties
ΔE_f = -0.145 eV/atom

Unit cell a=4.2753 b=4.2693 c=8.4669 alpha=90.00 beta=90.00 gamma=90.00
Last column: nearest neighbours and their distance in Å.
Fractional coordinates of all 8 atoms:
Ga 0.0000 0.5000 0.5000  4 Np 3.00, 4 Ga 3.02, 4 Al 3.03
Ga 0.0000 0.5000 0.0000  8 Al 2.98-3.02, 4 Np 3.02
Ga 0.5000 0.0000 0.5000  4 Np 3.00, 4 Ga 3.02, 4 Al 3.03
Np 0.0000 0.0000 0.7482  6 Ga 3.00-3.02, 6 Al 3.02
Np 0.0000 0.0000 0.2518  6 Ga 3.00-3.02, 6 Al 3.02
Al 0.5000 0.0000 0.0000  4 Al 2.98, 4 Np 3.02, 4 Ga 3.02
Al 0.5000 0.5000 0.2458  2 Al 2.98, 6 Ga 2.98-3.03, 4 Np 3.02
Al 0.5000 0.5000 0.7542  2 Al 2.98, 6 Ga 2.98-3.03, 4 Np 3.02



Asked for uncorrected energy across the records above, the calculation gives -81.29 -40.30 -47.35 eV per cell in order.